# 1
The following is a PBE calculation of NaTl2F4 after structural relaxation, from Alexandria.

Cell lengths 4.383, 4.383, 7.094 Å; angles 72.01, 72.01, 90.00 degrees
Sites, in units of the cell vectors:
F 0.000 0.500 0.000
F 0.183 0.183 0.633
F 0.500 0.000 0.000
F 0.817 0.817 0.367
Tl 0.367 0.367 0.266
Tl 0.633 0.633 0.734
Na 0.000 0.000 0.000

Distance to the lowest polymorph of the same formula = 0.042 eV/atom
Space group = I4/mmm


# 2
The following is a PBE calculation of Na3TlF6 after structural relaxation, from Alexandria.

Cell lengths 6.177, 6.177, 6.177 Å; angles 60.00, 60.00, 60.00 degrees
Sites, in units of the cell vectors:
Na 0.250 0.250 0.250
Na 0.500 0.500 0.500
Na 0.750 0.750 0.750
F 0.248 0.248 0.752
F 0.752 0.248 0.248
F 0.248 0.752 0.752
F 0.752 0.752 0.248
F 0.752 0.248 0.752
F 0.248 0.752 0.248
Tl 0.000 0.000 0.000

Space group = Fm-3m


# 3
The following is a PBE calculation of NaTl2F2 after structural relaxation, from Alexandria.

Cell lengths 6.531, 6.531, 5.091 Å; angles 90.00, 90.00, 90.00 degrees
Sites, in units of the cell vectors:
Tl 0.813 0.313 0.500
Tl 0.687 0.813 0.500
Tl 0.313 0.187 0.500
Tl 0.187 0.687 0.500
Na 0.000 0.000 0.000
Na 0.500 0.500 0.000
F 0.751 0.749 0.000
F 0.749 0.249 0.000
F 0.249 0.251 0.000
F 0.251 0.751 0.000

Distance to the lowest polymorph of the same formula = 0.000 eV/atom
Space group = P4/mbm


# 4
The following is a PBE calculation of NaTl3F after structural relaxation, from Alexandria.

Cell lengths 5.760, 5.760, 5.760 Å; angles 90.00, 90.00, 90.00 degrees
Sites, in units of the cell vectors:
Tl 0.000 0.500 0.000
Tl 0.500 0.000 0.000
Tl 0.000 0.000 0.500
F 0.500 0.500 0.500
Na 0.000 0.000 0.000

Distance to the lowest polymorph of the same formula = 0.595 eV/atom
Space group = Pm-3m


| no. | uncorrected formation energy (eV per atom) | VASP energy (eV/atom) |
| --- | --- | --- |
| 1 | -1.91 | -3.84 |
| 2 | -2.28 | -4.03 |
| 3 | -1.55 | -3.51 |
| 4 | -0.03 | -2.08 |